P) Er4Ir2Pt | PBE | relaxed

Structure (POSCAR):
```
Er4Ir2Pt
1.0
4.206 0.000 0.000
0.000 7.107 0.018
-2.103 -3.470 5.901
Er Ir Pt
4 2 1
Direct
0.624 0.310 0.248
0.376 0.690 0.752
0.860 0.206 0.720
0.140 0.794 0.280
0.761 0.758 0.523
0.239 0.242 0.477
0.000 0.000 0.000
```

Output
* magnetic moment: 0.000 μB per cell
* density: 11.7 g cm⁻³


Q) Er4Ir2Pt | PBE | relaxed

Structure (POSCAR):
```
Er4Ir2Pt
1.0
4.579 0.000 1.431
2.066 4.086 1.431
-0.082 -0.051 8.307
Er Pt Ir
4 1 2
Direct
0.377 0.377 0.869
0.127 0.127 0.620
0.873 0.873 0.380
0.623 0.623 0.131
0.000 0.000 0.000
0.750 0.750 0.750
0.250 0.250 0.250
```

Output
* magnetic moment: 0.000 μB per cell
* density: 13.3 g cm⁻³


Comparing the structures above, Q) comes out on top by 12.4 kJ/mol of atoms.